[1]
Computed, not measured: a relaxed structure of SrMg14V at the GGA-PBE level of DFT.

Calculated values
Space-group type: No. 38
Magnetization, μB/cell: 3.7
Theoretical density, g cm⁻³: 2.07
Uncorrected energy, eV/cell: -31.2
Calculated formation energy, meV/atom: 120

```
SrMg14V
1.0
10.546 0.000 0.000
0.000 3.198 5.697
0.000 -3.198 5.697
Sr Mg V
1 14 1
Direct
0.000 0.000 0.000
0.000 0.006 0.495
0.000 0.495 0.006
0.232 0.648 0.648
0.253 0.159 0.645
0.253 0.645 0.159
0.264 0.157 0.157
0.500 0.490 0.490
0.500 0.494 0.983
0.500 0.983 0.494
0.500 0.987 0.987
0.736 0.157 0.157
0.747 0.159 0.645
0.747 0.645 0.159
0.768 0.648 0.648
0.000 0.486 0.486
```

***

[2]
Computed, not measured: a relaxed structure of SrMg2V2 at the GGA-PBE level of DFT.

Calculated values
Space-group type: No. 127
Relative energy among the computed polymorphs, meV/atom: 0.0
Magnetization, μB/cell: 0.0
Theoretical density, g cm⁻³: 3.54
Uncorrected energy, eV/cell: -41.9
Calculated formation energy, meV/atom: 435

```
SrMg2V2
1.0
8.331 0.000 0.000
0.000 8.331 0.000
0.000 0.000 3.222
Sr Mg V
2 4 4
Direct
0.000 0.000 0.000
0.500 0.500 0.000
0.200 0.300 0.500
0.300 0.800 0.500
0.700 0.200 0.500
0.800 0.700 0.500
0.081 0.581 0.000
0.419 0.081 0.000
0.581 0.919 0.000
0.919 0.419 0.000
```

***

[3]
Computed, not measured: a relaxed structure of Sr2MgV at the GGA-PBE level of DFT.

Calculated values
Space-group type: No. 122
Relative energy among the computed polymorphs, meV/atom: 258.4
Magnetization, μB/cell: 8.6
Theoretical density, g cm⁻³: 2.94
Uncorrected energy, eV/cell: -22.3
Calculated formation energy, meV/atom: 738

```
Sr2MgV
1.0
-4.529 4.529 3.446
4.529 -4.529 3.446
4.529 4.529 -3.446
Sr Mg V
4 2 2
Direct
0.109 0.625 0.984
0.375 0.359 0.484
0.641 0.125 0.016
0.875 0.891 0.516
0.250 0.750 0.500
0.500 0.500 0.000
0.000 0.000 0.000
0.750 0.250 0.500
```

***

[4]
Computed, not measured: a relaxed structure of Sr2MgV at the GGA-PBE level of DFT.

Calculated values
Space-group type: No. 225
Relative energy among the computed polymorphs, meV/atom: 0.0
Magnetization, μB/cell: 4.5
Theoretical density, g cm⁻³: 3.06
Uncorrected energy, eV/cell: -12.2
Calculated formation energy, meV/atom: 479

```
Sr2MgV
1.0
0.000 4.081 4.081
4.081 0.000 4.081
4.081 4.081 0.000
Sr Mg V
2 1 1
Direct
0.250 0.250 0.250
0.750 0.750 0.750
0.000 0.000 0.000
0.500 0.500 0.500
```

***

[5]
Computed, not measured: a relaxed structure of Sr2MgW at the GGA-PBE level of DFT.

Calculated values
Space-group type: No. 123
Magnetization, μB/cell: 3.3
Theoretical density, g cm⁻³: 5.15
Uncorrected energy, eV/cell: -14.0
Calculated formation energy, meV/atom: 988

```
Sr2MgW
1.0
5.556 0.000 0.000
0.000 5.556 0.000
0.000 0.000 4.005
Sr Mg W
2 1 1
Direct
0.000 0.500 0.000
0.500 0.000 0.000
0.000 0.000 0.500
0.500 0.500 0.500
```

***

[6]
Computed, not measured: a relaxed structure of SrMg6W at the GGA-PBE level of DFT.

Calculated values
Space-group type: No. 38
Relative energy among the computed polymorphs, meV/atom: 128.1
Magnetization, μB/cell: 0.7
Theoretical density, g cm⁻³: 3.68
Uncorrected energy, eV/cell: -20.8
Calculated formation energy, meV/atom: 426

```
SrMg6W
1.0
5.119 0.000 0.000
0.000 3.254 5.649
0.000 -3.254 5.649
Sr Mg W
1 6 1
Direct
0.000 0.000 0.000
0.000 0.495 0.495
0.000 0.530 0.979
0.000 0.979 0.530
0.500 0.329 0.329
0.500 0.359 0.824
0.500 0.824 0.359
0.500 0.821 0.821
```

***

[7]
Computed, not measured: a relaxed structure of Sr2MgW at the GGA-PBE level of DFT.

Calculated values
Space-group type: No. 12
Magnetization, μB/cell: 1.1
Theoretical density, g cm⁻³: 5.61
Uncorrected energy, eV/cell: -13.6
Calculated formation energy, meV/atom: 1083

```
Sr2MgW
1.0
5.505 -1.587 0.000
5.505 1.587 0.000
-0.729 0.000 6.491
Sr Mg W
2 1 1
Direct
0.241 0.241 0.234
0.759 0.759 0.766
0.000 0.000 0.500
0.500 0.500 0.000
```

***

[8]
Computed, not measured: a relaxed structure of Sr2MgW at the GGA-PBE level of DFT.

Calculated values
Space-group type: No. 65
Magnetization, μB/cell: 0.0
Theoretical density, g cm⁻³: 5.68
Uncorrected energy, eV/cell: -14.5
Calculated formation energy, meV/atom: 864

```
Sr2MgW
1.0
2.253 -2.261 0.000
2.253 2.261 0.000
0.000 0.000 10.994
Sr Mg W
2 1 1
Direct
0.000 0.000 0.224
0.000 0.000 0.776
0.500 0.500 0.500
0.500 0.500 0.000
```

***

[9]
Computed, not measured: a relaxed structure of Sr2MgW at the GGA-PBE level of DFT.

Calculated values
Space-group type: No. 65
Magnetization, μB/cell: 1.1
Theoretical density, g cm⁻³: 5.59
Uncorrected energy, eV/cell: -13.9
Calculated formation energy, meV/atom: 1009

```
Sr2MgW
1.0
3.551 -4.916 0.000
3.551 4.916 0.000
0.000 0.000 3.264
Sr Mg W
2 1 1
Direct
0.000 0.500 0.000
0.500 0.000 0.000
0.000 0.000 0.500
0.500 0.500 0.500
```

***

[10]
Computed, not measured: a relaxed structure of Sr2MgW at the GGA-PBE level of DFT.

Calculated values
Space-group type: No. 122
Magnetization, μB/cell: 0.0
Theoretical density, g cm⁻³: 5.55
Uncorrected energy, eV/cell: -24.7
Calculated formation energy, meV/atom: 1395

```
Sr2MgW
1.0
-2.268 2.268 11.147
2.268 -2.268 11.147
2.268 2.268 -11.147
Sr Mg W
4 2 2
Direct
0.116 0.625 0.991
0.375 0.366 0.491
0.634 0.125 0.009
0.875 0.884 0.509
0.250 0.750 0.500
0.500 0.500 0.000
0.000 0.000 0.000
0.750 0.250 0.500
```

***

[11]
Computed, not measured: a relaxed structure of Sr3MgW at the GGA-PBE level of DFT.

Calculated values
Space-group type: No. 221
Relative energy among the computed polymorphs, meV/atom: 456.9
Magnetization, μB/cell: 4.4
Theoretical density, g cm⁻³: 3.27
Uncorrected energy, eV/cell: -12.4
Calculated formation energy, meV/atom: 1430

```
Sr3MgW
1.0
6.210 0.000 0.000
0.000 6.210 0.000
0.000 0.000 6.210
Sr Mg W
3 1 1
Direct
0.000 0.000 0.500
0.000 0.500 0.000
0.500 0.000 0.000
0.000 0.000 0.000
0.500 0.500 0.500
```

***

[12]
Computed, not measured: a relaxed structure of Sr4MgW at the GGA-PBE level of DFT.

Calculated values
Space-group type: No. 216
Magnetization, μB/cell: 3.9
Theoretical density, g cm⁻³: 3.93
Uncorrected energy, eV/cell: -14.0
Calculated formation energy, meV/atom: 1218

```
Sr4MgW
1.0
0.000 4.904 4.904
4.904 0.000 4.904
4.904 4.904 0.000
Sr Mg W
4 1 1
Direct
0.124 0.124 0.124
0.124 0.124 0.627
0.124 0.627 0.124
0.627 0.124 0.124
0.500 0.500 0.500
0.750 0.750 0.750
```

***

[13]
Computed, not measured: a relaxed structure of SrMgW3 at the GGA-PBE level of DFT.

Calculated values
Space-group type: No. 221
Relative energy among the computed polymorphs, meV/atom: 0.0
Magnetization, μB/cell: 1.2
Theoretical density, g cm⁻³: 9.81
Uncorrected energy, eV/cell: -30.0
Calculated formation energy, meV/atom: 2425

```
SrMgW3
1.0
4.824 0.000 0.000
0.000 4.824 0.000
0.000 0.000 4.824
Sr Mg W
1 1 3
Direct
0.000 0.000 0.000
0.500 0.500 0.500
0.000 0.500 0.500
0.500 0.000 0.500
0.500 0.500 0.000
```

***

[14]
Computed, not measured: a relaxed structure of Sr2MgW at the GGA-PBE level of DFT.

Calculated values
Space-group type: No. 119
Magnetization, μB/cell: 2.2
Theoretical density, g cm⁻³: 5.50
Uncorrected energy, eV/cell: -13.8
Calculated formation energy, meV/atom: 1017

```
Sr2MgW
1.0
-2.736 2.736 3.863
2.736 -2.736 3.863
2.736 2.736 -3.863
Sr Mg W
2 1 1
Direct
0.000 0.000 0.000
0.750 0.250 0.500
0.250 0.750 0.500
0.500 0.500 0.000
```

***

[15]
Computed, not measured: a relaxed structure of Sr2MgW at the GGA-PBE level of DFT.

Calculated values
Space-group type: No. 99
Magnetization, μB/cell: 0.0
Theoretical density, g cm⁻³: 5.63
Uncorrected energy, eV/cell: -14.5
Calculated formation energy, meV/atom: 847

```
Sr2MgW
1.0
3.217 0.000 0.000
0.000 3.217 0.000
0.000 0.000 10.935
Sr Mg W
2 1 1
Direct
0.000 0.000 0.000
0.500 0.500 0.341
0.500 0.500 0.740
0.000 0.000 0.565
```

***

[16]
Computed, not measured: a relaxed structure of SrMgW3 at the GGA-PBE level of DFT.

Calculated values
Space-group type: No. 221
Relative energy among the computed polymorphs, meV/atom: 959.3
Magnetization, μB/cell: 0.0
Theoretical density, g cm⁻³: 9.59
Uncorrected energy, eV/cell: -25.2
Calculated formation energy, meV/atom: 3384

```
SrMgW3
1.0
4.861 0.000 0.000
0.000 4.861 0.000
0.000 0.000 4.861
Sr Mg W
1 1 3
Direct
0.000 0.000 0.000
0.500 0.500 0.500
0.000 0.000 0.500
0.000 0.500 0.000
0.500 0.000 0.000
```

***

[17]
Computed, not measured: a relaxed structure of Sr2MgW at the GGA-PBE level of DFT.

Calculated values
Space-group type: No. 6
Magnetization, μB/cell: 1.1
Theoretical density, g cm⁻³: 5.47
Uncorrected energy, eV/cell: -14.3
Calculated formation energy, meV/atom: 909

```
Sr2MgW
1.0
3.315 0.000 0.000
0.000 5.207 0.000
-1.634 0.000 6.738
Sr Mg W
2 1 1
Direct
0.000 0.000 0.000
0.313 0.500 0.636
0.702 0.000 0.418
0.604 0.500 0.207
```

***

[18]
Computed, not measured: a relaxed structure of Sr2MgW at the GGA-PBE level of DFT.

Calculated values
Space-group type: No. 8
Magnetization, μB/cell: 0.0
Theoretical density, g cm⁻³: 5.52
Uncorrected energy, eV/cell: -14.5
Calculated formation energy, meV/atom: 841

```
Sr2MgW
1.0
6.190 -1.621 0.000
6.190 1.621 0.000
-1.821 0.000 5.744
Sr Mg W
2 1 1
Direct
0.000 0.000 0.000
0.199 0.199 0.620
0.773 0.773 0.183
0.447 0.447 0.472
```

***

[19]
Computed, not measured: a relaxed structure of SrMg6W at the GGA-PBE level of DFT.

Calculated values
Space-group type: No. 123
Relative energy among the computed polymorphs, meV/atom: 0.0
Magnetization, μB/cell: 0.0
Theoretical density, g cm⁻³: 3.73
Uncorrected energy, eV/cell: -21.8
Calculated formation energy, meV/atom: 298

```
SrMg6W
1.0
6.515 0.000 0.000
0.000 6.515 0.000
0.000 0.000 4.376
Sr Mg W
1 6 1
Direct
0.000 0.000 0.000
0.000 0.500 0.000
0.281 0.281 0.500
0.281 0.719 0.500
0.500 0.000 0.000
0.719 0.281 0.500
0.719 0.719 0.500
0.500 0.500 0.000
```

***

[20]
Computed, not measured: a relaxed structure of Sr2MgW at the GGA-PBE level of DFT.

Calculated values
Space-group type: No. 166
Magnetization, μB/cell: 0.0
Theoretical density, g cm⁻³: 5.63
Uncorrected energy, eV/cell: -14.0
Calculated formation energy, meV/atom: 984

```
Sr2MgW
1.0
1.672 0.965 11.678
-1.672 0.965 11.678
0.000 -1.931 11.678
Sr Mg W
2 1 1
Direct
0.240 0.240 0.240
0.760 0.760 0.760
0.000 0.000 0.000
0.500 0.500 0.500
```

***

[21]
Computed, not measured: a relaxed structure of Sr2MgW at the GGA-PBE level of DFT.

Calculated values
Space-group type: No. 47
Magnetization, μB/cell: 0.0
Theoretical density, g cm⁻³: 5.61
Uncorrected energy, eV/cell: -14.0
Calculated formation energy, meV/atom: 985

```
Sr2MgW
1.0
3.210 0.000 0.000
0.000 5.038 0.000
0.000 0.000 7.014
Sr Mg W
2 1 1
Direct
0.000 0.000 0.232
0.000 0.000 0.768
0.500 0.500 0.500
0.500 0.500 0.000
```

***

[22]
Computed, not measured: a relaxed structure of SrMg4W at the GGA-PBE level of DFT.

Calculated values
Space-group type: No. 216
Magnetization, μB/cell: 3.6
Theoretical density, g cm⁻³: 4.27
Uncorrected energy, eV/cell: -17.6
Calculated formation energy, meV/atom: 568

```
SrMg4W
1.0
0.000 4.154 4.154
4.154 0.000 4.154
4.154 4.154 0.000
Sr Mg W
1 4 1
Direct
0.000 0.000 0.000
0.377 0.377 0.377
0.377 0.377 0.870
0.377 0.870 0.377
0.870 0.377 0.377
0.750 0.750 0.750
```

***

[23]
Computed, not measured: a relaxed structure of Sr2MgW at the GGA-PBE level of DFT.

Calculated values
Space-group type: No. 44
Magnetization, μB/cell: 0.7
Theoretical density, g cm⁻³: 5.34
Uncorrected energy, eV/cell: -14.4
Calculated formation energy, meV/atom: 881

```
Sr2MgW
1.0
-1.674 2.915 6.109
1.674 -2.915 6.109
1.674 2.915 -6.109
Sr Mg W
2 1 1
Direct
0.000 0.000 0.000
0.697 0.197 0.500
0.419 0.419 0.000
0.235 0.735 0.500
```

***

[24]
Computed, not measured: a relaxed structure of Sr3MgW at the GGA-PBE level of DFT.

Calculated values
Space-group type: No. 221
Relative energy among the computed polymorphs, meV/atom: 0.0
Magnetization, μB/cell: 0.0
Theoretical density, g cm⁻³: 3.82
Uncorrected energy, eV/cell: -14.7
Calculated formation energy, meV/atom: 973

```
Sr3MgW
1.0
5.896 0.000 0.000
0.000 5.896 0.000
0.000 0.000 5.896
Sr Mg W
3 1 1
Direct
0.000 0.000 0.500
0.000 0.500 0.000
0.500 0.000 0.000
0.500 0.500 0.500
0.000 0.000 0.000
```

***

[25]
Computed, not measured: a relaxed structure of Sr2MgZnW at the GGA-PBE level of DFT.

Calculated values
Space-group type: No. 123
Magnetization, μB/cell: 4.5
Theoretical density, g cm⁻³: 3.80
Uncorrected energy, eV/cell: -12.7
Calculated formation energy, meV/atom: 1288

```
Sr2MgZnW
1.0
6.195 0.000 0.000
0.000 6.195 0.000
0.000 0.000 5.115
Sr Mg Zn W
2 1 1 1
Direct
0.000 0.500 0.000
0.500 0.000 0.000
0.000 0.000 0.000
0.500 0.500 0.500
0.000 0.000 0.500
```

***

[26]
Computed, not measured: a relaxed structure of Sr2MgZrW at the GGA-PBE level of DFT.

Calculated values
Space-group type: No. 123
Magnetization, μB/cell: 0.0
Theoretical density, g cm⁻³: 4.73
Uncorrected energy, eV/cell: -18.7
Calculated formation energy, meV/atom: 1561

```
Sr2MgZrW
1.0
5.577 0.000 0.000
0.000 5.577 0.000
0.000 0.000 5.356
Sr Mg Zr W
2 1 1 1
Direct
0.000 0.500 0.000
0.500 0.000 0.000
0.000 0.000 0.500
0.500 0.500 0.500
0.000 0.000 0.000
```

***

[27]
Computed, not measured: a relaxed structure of Sr2YMg at the GGA-PBE level of DFT.

Calculated values
Space-group type: No. 166
Magnetization, μB/cell: 0.1
Theoretical density, g cm⁻³: 3.01
Uncorrected energy, eV/cell: -10.7
Calculated formation energy, meV/atom: 191

```
Sr2YMg
1.0
1.954 1.128 12.041
-1.954 1.128 12.041
0.000 -2.257 12.041
Sr Y Mg
2 1 1
Direct
0.246 0.246 0.246
0.754 0.754 0.754
0.000 0.000 0.000
0.500 0.500 0.500
```

***

[28]
Computed, not measured: a relaxed structure of Sr2YMg at the GGA-PBE level of DFT.

Calculated values
Space-group type: No. 47
Magnetization, μB/cell: 0.0
Theoretical density, g cm⁻³: 3.13
Uncorrected energy, eV/cell: -10.8
Calculated formation energy, meV/atom: 166

```
Sr2YMg
1.0
4.608 0.000 0.000
0.000 5.738 0.000
0.000 0.000 5.780
Sr Y Mg
2 1 1
Direct
0.000 0.000 0.000
0.500 0.500 0.000
0.000 0.500 0.500
0.500 0.000 0.500
```